(1)
Compound: HfZrNb14
Source: Alexandria
Functional: PBE
Structure: optimized geometry

Calculated values
**ΔH_f (0 K)**: 17 meV/atom
**Crystal system**: orthorhombic

Cell: 5.8707 5.8707 9.3172 Å, 90.00 90.00 111.04°
Last column: nearest neighbours and their distance in Å.
Fractional positions:
Hf 0.0000 0.0000 0.0000  8 Nb 2.94-2.97
Zr 0.5000 0.5000 0.0000  8 Nb 2.94-2.97
Nb 0.0000 0.0000 0.5000  8 Nb 2.76-2.94
Nb 0.0000 0.5000 0.0000  4 Nb 2.86, 2 Zr 2.94, 2 Hf 2.94
Nb 0.0000 0.5000 0.5000  8 Nb 2.87-2.94
Nb 0.2488 0.7512 0.2495  8 Nb 2.86-2.95
Nb 0.2488 0.7512 0.7505  8 Nb 2.86-2.95
Nb 0.2501 0.2501 0.2641  6 Nb 2.75-2.95, 1 Zr 2.97, 1 Hf 2.97
Nb 0.2501 0.2501 0.7359  6 Nb 2.75-2.95, 1 Zr 2.97, 1 Hf 2.97
Nb 0.5000 0.0000 0.0000  4 Nb 2.86, 2 Hf 2.94, 2 Zr 2.94
Nb 0.5000 0.0000 0.5000  8 Nb 2.87-2.94
Nb 0.5000 0.5000 0.5000  8 Nb 2.75-2.94
Nb 0.7499 0.7499 0.2641  6 Nb 2.75-2.95, 1 Zr 2.97, 1 Hf 2.97
Nb 0.7499 0.7499 0.7359  6 Nb 2.75-2.95, 1 Zr 2.97, 1 Hf 2.97
Nb 0.7512 0.2488 0.2495  8 Nb 2.86-2.95
Nb 0.7512 0.2488 0.7505  8 Nb 2.86-2.95

(2)
Compound: CdO2F2
Source: Alexandria
Functional: PBE
Structure: optimized geometry

Calculated values
**Energy**: -3.02 eV/atom
**Crystal system**: tetragonal

Cell: 3.8479 3.8479 3.7221 Å, 90.00 90.00 90.00°
Last column: nearest neighbours and their distance in Å.
Fractional positions:
Cd 0.0000 0.0000 0.0000  8 F 2.68, 4 O 2.72
O 0.5000 0.5000 0.0000  2 O 1.86
O 0.5000 0.5000 0.5000  2 O 1.86, 4 F 1.92
F 0.0000 0.5000 0.5000  2 O 1.92
F 0.5000 0.0000 0.5000  2 O 1.92

| no. | calculated volume (Å³ per cell) |
| --- | --- |
| 1 | 299.7 |
| 2 | 55.1 |